Entry 1:
Compound: PuBiO
Source: Alexandria via LeMat-Bulk
Functional: PBE
Structure: relaxed

It has space group P4/nmm (No. 129, origin choice 2), with a = 4.146 Å, b = 4.146 Å, c = 7.770 Å, α = 90.00°, β = 90.00° and γ = 90.00°. The distinct sites, in fractional coordinates, are Pu at (0.250, 0.250, 0.136), Bi at (0.250, 0.250, 0.585) and O at (0.250, 0.750, 0.000).

As for the magnetization: 5.330 μB per formula unit. The calculation puts the energy at -57.31 eV per cell. For the offset from the most stable computed form, the calculation gives 0.000 eV/atom. The value obtained for the density of states at the Fermi level is 5.5 states/eV/f.u. For the uncorrected formation energy, the calculation gives -1.828 eV/atom.


Entry 2:
Compound: Pu2Bi2O7
Source: Alexandria via LeMat-Bulk
Functional: PBE
Structure: relaxed

It has space group Fd-3m (No. 227, origin choice 2), with a = 11.067 Å, b = 11.067 Å, c = 11.067 Å, α = 90.00°, β = 90.00° and γ = 90.00°. The distinct sites, in fractional coordinates, are Pu at (0.000, 0.000, 0.000), Bi at (0.000, 0.000, 0.500), O at (0.094, 0.375, 0.375) and O at (0.125, 0.125, 0.625).

As for the magnetization: 8.000 μB per formula unit. The calculation puts the energy at -757.57 eV per cell. The value obtained for the density of states at the Fermi level is 6.7 states/eV/f.u. For the uncorrected formation energy, the calculation gives -2.142 eV/atom.


Entry 3:
Compound: Pu2BiO
Source: Alexandria via LeMat-Bulk
Functional: PBE
Structure: relaxed

It has space group R-3m (No. 166, hexagonal axes), with a = 4.1460 Å, b = 4.1460 Å, c = 16.8192 Å, α = 90.00°, β = 90.00° and γ = 120.00°. The distinct sites, in fractional coordinates, are Pu at (0.0000, 0.0000, 0.1863), Bi at (0.0000, 0.0000, 0.0000) and O at (0.0000, 0.0000, 0.5000).

As for the magnetization: 0.002 μB per formula unit. The calculation puts the energy at -118.59 eV per cell. For the offset from the most stable computed form, the calculation gives 0.926 eV/atom. The value obtained for the density of states at the Fermi level is 7.4 states/eV/f.u. For the uncorrected formation energy, the calculation gives -0.507 eV/atom.


Entry 4:
Compound: Pu3Bi2O
Source: Alexandria via LeMat-Bulk
Functional: PBE
Structure: relaxed

It has space group Cmcm (No. 63), with a = 11.371 Å, b = 8.881 Å, c = 6.312 Å, α = 90.00°, β = 90.00° and γ = 90.00°. The distinct sites, in fractional coordinates, are Pu at (0.000, 0.159, 0.250), Pu at (0.151, 0.500, 0.000), Bi at (0.146, 0.181, 0.750) and O at (0.000, 0.418, 0.250).

As for the magnetization: 16.681 μB per formula unit. The calculation puts the energy at -247.08 eV per cell. For the offset from the most stable computed form, the calculation gives 0.098 eV/atom. The value obtained for the density of states at the Fermi level is 24.8 states/eV/f.u. For the uncorrected formation energy, the calculation gives -1.009 eV/atom.


Entry 5:
Compound: Pu2BiO
Source: Alexandria via LeMat-Bulk
Functional: PBE
Structure: relaxed

It has space group Cmcm (No. 63), with a = 3.585 Å, b = 15.077 Å, c = 6.631 Å, α = 90.00°, β = 90.00° and γ = 90.00°. The distinct sites, in fractional coordinates, are Pu at (0.000, 0.157, 0.013), Bi at (0.000, 0.492, 0.250) and O at (0.000, 0.268, 0.750).

As for the magnetization: 12.130 μB per formula unit. The calculation puts the energy at -169.27 eV per cell. For the offset from the most stable computed form, the calculation gives 0.229 eV/atom. The value obtained for the density of states at the Fermi level is 13.3 states/eV/f.u. For the uncorrected formation energy, the calculation gives -1.204 eV/atom.


Entry 6:
Compound: Pu2BiO
Source: Alexandria via LeMat-Bulk
Functional: PBE
Structure: relaxed

It has space group R3m (No. 160, hexagonal axes), with a = 3.5768 Å, b = 3.5768 Å, c = 23.9711 Å, α = 90.00°, β = 90.00° and γ = 120.00°. The distinct sites, in fractional coordinates, are Pu at (0.0000, 0.0000, 0.0000), Pu at (0.0000, 0.0000, 0.2186), Bi at (0.0000, 0.0000, 0.4417) and O at (0.0000, 0.0000, 0.6087).

As for the magnetization: 0.044 μB per formula unit. The calculation puts the energy at -127.92 eV per cell. For the offset from the most stable computed form, the calculation gives 0.149 eV/atom. The value obtained for the density of states at the Fermi level is 13.8 states/eV/f.u. For the uncorrected formation energy, the calculation gives -1.284 eV/atom.


Entry 7:
Compound: Pu3BiO4
Source: Alexandria via LeMat-Bulk
Functional: PBE
Structure: relaxed

It has space group P4/mmm (No. 123), with a = 3.904 Å, b = 3.904 Å, c = 9.504 Å, α = 90.00°, β = 90.00° and γ = 90.00°. The distinct sites, in fractional coordinates, are Pu at (0.000, 0.000, 0.000), Pu at (0.500, 0.500, 0.265), Bi at (0.000, 0.000, 0.500) and O at (0.000, 0.500, 0.148).

As for the magnetization: 4.740 μB per formula unit. The calculation puts the energy at -86.90 eV per cell. The value obtained for the density of states at the Fermi level is 27.8 states/eV/f.u. For the uncorrected formation energy, the calculation gives -2.524 eV/atom.


Entry 8:
Compound: Pu5Bi4O
Source: Alexandria via LeMat-Bulk
Functional: PBE
Structure: relaxed

It has space group I4 (No. 79), with a = 9.607 Å, b = 9.607 Å, c = 6.367 Å, α = 90.00°, β = 90.00° and γ = 90.00°. The distinct sites, in fractional coordinates, are Pu at (0.000, 0.000, 0.000), Pu at (0.094, 0.756, 0.437), Bi at (0.075, 0.687, 0.933) and O at (0.000, 0.000, 0.361).

As for the magnetization: 16.865 μB per formula unit. The calculation puts the energy at -196.93 eV per cell. The value obtained for the density of states at the Fermi level is 57.2 states/eV/f.u. For the uncorrected formation energy, the calculation gives -0.632 eV/atom.


Entry 9:
Compound: PuBiO
Source: Alexandria via LeMat-Bulk
Functional: PBE
Structure: relaxed

It has space group R-3 (No. 148, hexagonal axes), with a = 13.2061 Å, b = 13.2061 Å, c = 9.2667 Å, α = 90.00°, β = 90.00° and γ = 120.00°. The distinct sites, in fractional coordinates, are Pu at (0.0045, 0.5695, 0.3404), Bi at (0.0649, 0.8663, 0.3554) and O at (0.0599, 0.7966, 0.9052).

As for the magnetization: 4.856 μB per formula unit. The calculation puts the energy at -505.07 eV per cell. For the offset from the most stable computed form, the calculation gives 0.199 eV/atom. The value obtained for the density of states at the Fermi level is 6.0 states/eV/f.u. For the uncorrected formation energy, the calculation gives -1.629 eV/atom.


Entry 10:
Compound: Pu3BiO3
Source: Alexandria via LeMat-Bulk
Functional: PBE
Structure: relaxed

It has space group P6_3/m (No. 176), with a = 9.5453 Å, b = 9.5453 Å, c = 3.9381 Å, α = 90.00°, β = 90.00° and γ = 120.00°. The distinct sites, in fractional coordinates, are Pu at (0.0769, 0.7102, 0.2500), Bi at (0.3333, 0.6667, 0.7500) and O at (0.0319, 0.2831, 0.2500).

As for the magnetization: 15.288 μB per formula unit. The calculation puts the energy at -154.53 eV per cell. For the offset from the most stable computed form, the calculation gives 0.040 eV/atom. The value obtained for the density of states at the Fermi level is 16.7 states/eV/f.u. For the uncorrected formation energy, the calculation gives -2.216 eV/atom.